# 1
Na2MnPt: relaxed, PBE.

Results
- formation energy from the elements (eV per atom) = 0.38
- total DFT energy (no corrections) (eV/f.u.) = -16.32

Cell: 8.3978 8.3978 6.4781 Å, 49.60 49.60 90.00°
Closest atoms and distances in Å follow each position.
Atoms (fractional coordinates):
Mn: 0.5000 0.5000 0.0000  2 Pt 2.59
Mn: 0.2500 0.7500 0.5000  2 Pt 2.59
Pt: 0.0000 0.0000 0.0000  2 Mn 2.59, 4 Na 2.81
Pt: 0.7500 0.2500 0.5000  2 Mn 2.59, 4 Na 2.81
Na: 0.3750 0.3327 0.7500  2 Na 2.68, 2 Pt 2.81
Na: 0.0827 0.6250 0.2500  2 Na 2.68, 2 Pt 2.81
Na: 0.6673 0.1250 0.2500  2 Na 2.68, 2 Pt 2.81
Na: 0.8750 0.9173 0.7500  2 Na 2.68, 2 Pt 2.81

---

# 2
Si3SbPb: relaxed, PBE.

Results
- total DFT energy (no corrections) (eV/f.u.) = -18.46
- E_form (uncorrected) (eV/f.u.) = 5.6

Cell: 5.2100 5.2100 5.2100 Å, 90.00 90.00 90.00°
Closest atoms and distances in Å follow each position.
Atoms (fractional coordinates):
Si: 0.0000 0.5000 0.0000  2 Sb 2.61
Si: 0.0000 0.0000 0.5000  2 Sb 2.61
Si: 0.5000 0.0000 0.0000  2 Sb 2.61
Sb: 0.0000 0.0000 0.0000  6 Si 2.61
Pb: 0.5000 0.5000 0.5000  12 Si 3.68

---

# 3
CsBeBi3: relaxed, PBE.

Results
- formation energy from the elements (eV per atom) = 0.23
- total DFT energy (no corrections) (eV/f.u.) = -15.09

Cell: 5.4520 5.4520 5.4520 Å, 90.00 90.00 90.00°
Closest atoms and distances in Å follow each position.
Atoms (fractional coordinates):
Bi: 0.0000 0.5000 0.0000  2 Be 2.73
Bi: 0.5000 0.0000 0.0000  2 Be 2.73
Bi: 0.0000 0.0000 0.5000  2 Be 2.73
Cs: 0.5000 0.5000 0.5000  12 Bi 3.86
Be: 0.0000 0.0000 0.0000  6 Bi 2.73

---

# 4
VTc2Ge4: relaxed, PBE.

Results
- formation energy from the elements (eV per atom) = -0.02
- total DFT energy (no corrections) (eV/f.u.) = -48.43

Cell: 3.0370 5.4320 7.6316 Å, 109.64 101.48 90.00°
Closest atoms and distances in Å follow each position.
Atoms (fractional coordinates):
Tc: 0.7531 0.7502 0.5062  6 Ge 2.52-2.59
Tc: 0.2469 0.2498 0.4938  6 Ge 2.52-2.59
Ge: 0.1210 0.7814 0.2421  1 V 2.48, 3 Tc 2.54-2.59
Ge: 0.6172 0.3178 0.2344  2 V 2.51, 3 Tc 2.52-2.59
Ge: 0.8790 0.2186 0.7579  1 V 2.48, 3 Tc 2.54-2.59
Ge: 0.3828 0.6822 0.7657  2 V 2.51, 3 Tc 2.52-2.59
V: 0.0000 0.0000 0.0000  6 Ge 2.48-2.51

---

# 5
Ba3Tl6Pd5: relaxed, PBE.

Results
- formation energy from the elements (eV per atom) = -0.39
- total DFT energy (no corrections) (eV/f.u.) = -51.44

Cell: 4.6370 10.7526 14.7595 Å, 90.00 90.00 90.00°
Closest atoms and distances in Å follow each position.
Atoms (fractional coordinates):
Pd: 0.5000 0.1479 0.1554  5 Tl 2.86-3.18
Pd: 0.0000 0.5533 0.1097  5 Tl 2.85-3.09, 1 Pd 2.97
Pd: 0.5000 0.4467 0.6097  5 Tl 2.85-3.09, 1 Pd 2.97
Pd: 0.0000 0.7844 0.0000  2 Pd 2.97, 6 Tl 3.05-3.19
Pd: 0.5000 0.4467 0.3903  5 Tl 2.85-3.09, 1 Pd 2.97
Pd: 0.5000 0.2156 0.5000  2 Pd 2.97, 6 Tl 3.05-3.19
Pd: 0.0000 0.8521 0.6554  5 Tl 2.86-3.18
Pd: 0.5000 0.1479 0.8446  5 Tl 2.86-3.18
Pd: 0.0000 0.8521 0.3446  5 Tl 2.86-3.18
Pd: 0.0000 0.5533 0.8903  5 Tl 2.85-3.09, 1 Pd 2.97
Tl: 0.5000 0.4153 0.1823  4 Pd 2.90-3.09
Tl: 0.0000 0.0311 0.5000  4 Pd 2.99-3.05, 4 Tl 3.26
Tl: 0.5000 0.0079 0.6548  4 Pd 2.86-3.19
Tl: 0.0000 0.4139 0.5000  6 Pd 2.85-3.15
Tl: 0.0000 0.9921 0.1548  4 Pd 2.86-3.19
Tl: 0.0000 0.5847 0.6823  4 Pd 2.90-3.09
Tl: 0.0000 0.5847 0.3177  4 Pd 2.90-3.09
Tl: 0.5000 0.4153 0.8177  4 Pd 2.90-3.09
Tl: 0.5000 0.5861 0.0000  6 Pd 2.85-3.15
Tl: 0.5000 0.9689 0.0000  4 Pd 2.99-3.05, 4 Tl 3.26
Tl: 0.0000 0.9921 0.8452  4 Pd 2.86-3.19
Tl: 0.5000 0.0079 0.3452  4 Pd 2.86-3.19
Ba: 0.5000 0.7535 0.1917  8 Tl 3.35-3.66, 6 Pd 3.39-3.67
Ba: 0.0000 0.2465 0.6917  8 Tl 3.35-3.66, 6 Pd 3.39-3.67
Ba: 0.5000 0.7535 0.8083  8 Tl 3.35-3.66, 6 Pd 3.39-3.67
Ba: 0.0000 0.2465 0.3083  8 Tl 3.35-3.66, 6 Pd 3.39-3.67
Ba: 0.5000 0.7216 0.5000  6 Pd 3.37-3.55
Ba: 0.0000 0.2784 0.0000  6 Pd 3.37-3.55

---

# 6
SiAg2Cl: relaxed, PBE.

Results
- total DFT energy (no corrections) (eV/f.u.) = -12.28
- E_form (uncorrected) (eV/f.u.) = 0.7

Cell: 6.5791 6.5791 6.3858 Å, 58.99 58.99 90.00°
Closest atoms and distances in Å follow each position.
Atoms (fractional coordinates):
Cl: 0.7500 0.2500 0.5000  4 Ag 2.68
Cl: 0.0000 0.0000 0.0000  4 Ag 2.68
Ag: 0.1505 0.6250 0.2500  2 Si 2.47, 2 Cl 2.68
Ag: 0.8750 0.8495 0.7500  2 Si 2.47, 2 Cl 2.68
Ag: 0.5995 0.1250 0.2500  2 Si 2.47, 2 Cl 2.68
Ag: 0.3750 0.4005 0.7500  2 Si 2.47, 2 Cl 2.68
Si: 0.5000 0.5000 0.0000  4 Ag 2.47
Si: 0.2500 0.7500 0.5000  4 Ag 2.47

---

no.,ρ (Mg/m³)
1,5.4
2,4.9
3,7.9
4,7.7
5,9.8
6,4.9